Record 1
# Ce2Re3C4 | Alexandria | GGA-PBE | relaxed
# E_form = 4.28 eV/f.u.
# DFT total energy = -81.83 eV for the cell shown
# total magnetization = 0.72 Bohr magnetons per cell
# space group = Fmmm, No. 69
data_Ce2Re3C4
_cell_length_a 6.895
_cell_length_b 6.185
_cell_length_c 5.171
_cell_angle_alpha 74.17
_cell_angle_beta 59.65
_cell_angle_gamma 46.18
_symmetry_space_group_name_H-M 'P 1'
_symmetry_Int_Tables_number 1
_symmetry_space_group_name_Hall 'P 1'
loop_
_atom_site_label
_atom_site_type_symbol
_atom_site_fract_x
_atom_site_fract_y
_atom_site_fract_z
Ce1 Ce 0.172 0.172 0.828
Ce2 Ce 0.828 0.828 0.172
Re1 Re 0.000 0.000 0.500
Re2 Re 0.500 0.500 0.000
Re3 Re 0.500 0.500 0.500
C1 C 0.184 0.550 0.450
C2 C 0.450 0.816 0.184
C3 C 0.550 0.184 0.816
C4 C 0.816 0.450 0.550


Record 2
# CeReC | Alexandria | GGA-PBE | relaxed
# E_form = 0.31 eV/f.u.
# DFT total energy = -27.30 eV for the cell shown
# energy relative to the lowest polymorph listed for this composition = 0.03 eV per formula unit
# total magnetization = 0.00 Bohr magnetons per cell
# space group = P3m1, No. 156
data_CeReC
_cell_length_a 3.166
_cell_length_b 3.166
_cell_length_c 5.499
_cell_angle_alpha 90.00
_cell_angle_beta 90.00
_cell_angle_gamma 120.00
_symmetry_space_group_name_H-M 'P 1'
_symmetry_Int_Tables_number 1
_symmetry_space_group_name_Hall 'P 1'
loop_
_atom_site_label
_atom_site_type_symbol
_atom_site_fract_x
_atom_site_fract_y
_atom_site_fract_z
Ce1 Ce 0.000 0.000 0.000
Re1 Re 0.333 0.667 0.490
C1 C 0.667 0.333 0.315


Record 3
# CeReC | Alexandria | GGA-PBE | relaxed
# E_form = 0.28 eV/f.u.
# DFT total energy = -109.31 eV for the cell shown
# energy relative to the lowest polymorph listed for this composition = 0.00 eV per formula unit
# total magnetization = 4.47 Bohr magnetons per cell
# space group = C2/m, No. 12
data_CeReC
_cell_length_a 8.644
_cell_length_b 8.644
_cell_length_c 7.026
_cell_angle_alpha 91.07
_cell_angle_beta 91.07
_cell_angle_gamma 25.88
_symmetry_space_group_name_H-M 'P 1'
_symmetry_Int_Tables_number 1
_symmetry_space_group_name_Hall 'P 1'
loop_
_atom_site_label
_atom_site_type_symbol
_atom_site_fract_x
_atom_site_fract_y
_atom_site_fract_z
Ce1 Ce 0.096 0.096 0.336
Ce2 Ce 0.400 0.400 0.118
Ce3 Ce 0.600 0.600 0.882
Ce4 Ce 0.904 0.904 0.664
Re1 Re 0.261 0.261 0.847
Re2 Re 0.293 0.293 0.426
Re3 Re 0.707 0.707 0.574
Re4 Re 0.739 0.739 0.153
C1 C 0.180 0.180 0.061
C2 C 0.182 0.182 0.620
C3 C 0.818 0.818 0.380
C4 C 0.820 0.820 0.939


Record 4
# Ce4ReC4 | Alexandria | GGA-PBE | relaxed
# E_form = -1.16 eV/f.u.
# DFT total energy = -74.24 eV for the cell shown
# total magnetization = 0.00 Bohr magnetons per cell
# space group = I4/m, No. 87
data_Ce4ReC4
_cell_length_a 5.912
_cell_length_b 5.912
_cell_length_c 5.912
_cell_angle_alpha 101.79
_cell_angle_beta 101.79
_cell_angle_gamma 126.25
_symmetry_space_group_name_H-M 'P 1'
_symmetry_Int_Tables_number 1
_symmetry_space_group_name_Hall 'P 1'
loop_
_atom_site_label
_atom_site_type_symbol
_atom_site_fract_x
_atom_site_fract_y
_atom_site_fract_z
Ce1 Ce 0.100 0.710 0.810
Ce2 Ce 0.290 0.100 0.390
Ce3 Ce 0.710 0.900 0.610
Ce4 Ce 0.900 0.290 0.190
Re1 Re 0.500 0.500 0.000
C1 C 0.226 0.418 0.644
C2 C 0.418 0.774 0.193
C3 C 0.582 0.226 0.807
C4 C 0.774 0.582 0.356


- Which of these has the lowest E_form?
  Ce4ReC4


- Among the records above, which one has the highest E_form?
  Ce2Re3C4


What did the first record say?
# Ce2Re3C4 | Alexandria | GGA-PBE | relaxed
# E_form = 4.28 eV/f.u.
# DFT total energy = -81.83 eV for the cell shown
# total magnetization = 0.72 Bohr magnetons per cell
# space group = Fmmm, No. 69
data_Ce2Re3C4
_cell_length_a 6.895
_cell_length_b 6.185
_cell_length_c 5.171
_cell_angle_alpha 74.17
_cell_angle_beta 59.65
_cell_angle_gamma 46.18
_symmetry_space_group_name_H-M 'P 1'
_symmetry_Int_Tables_number 1
_symmetry_space_group_name_Hall 'P 1'
loop_
_atom_site_label
_atom_site_type_symbol
_atom_site_fract_x
_atom_site_fract_y
_atom_site_fract_z
Ce1 Ce 0.172 0.172 0.828
Ce2 Ce 0.828 0.828 0.172
Re1 Re 0.000 0.000 0.500
Re2 Re 0.500 0.500 0.000
Re3 Re 0.500 0.500 0.500
C1 C 0.184 0.550 0.450
C2 C 0.450 0.816 0.184
C3 C 0.550 0.184 0.816
C4 C 0.816 0.450 0.550


What did the third record say?
# CeReC | Alexandria | GGA-PBE | relaxed
# E_form = 0.28 eV/f.u.
# DFT total energy = -109.31 eV for the cell shown
# energy relative to the lowest polymorph listed for this composition = 0.00 eV per formula unit
# total magnetization = 4.47 Bohr magnetons per cell
# space group = C2/m, No. 12
data_CeReC
_cell_length_a 8.644
_cell_length_b 8.644
_cell_length_c 7.026
_cell_angle_alpha 91.07
_cell_angle_beta 91.07
_cell_angle_gamma 25.88
_symmetry_space_group_name_H-M 'P 1'
_symmetry_Int_Tables_number 1
_symmetry_space_group_name_Hall 'P 1'
loop_
_atom_site_label
_atom_site_type_symbol
_atom_site_fract_x
_atom_site_fract_y
_atom_site_fract_z
Ce1 Ce 0.096 0.096 0.336
Ce2 Ce 0.400 0.400 0.118
Ce3 Ce 0.600 0.600 0.882
Ce4 Ce 0.904 0.904 0.664
Re1 Re 0.261 0.261 0.847
Re2 Re 0.293 0.293 0.426
Re3 Re 0.707 0.707 0.574
Re4 Re 0.739 0.739 0.153
C1 C 0.180 0.180 0.061
C2 C 0.182 0.182 0.620
C3 C 0.818 0.818 0.380
C4 C 0.820 0.820 0.939